No. 1
# ZrAlZnAg (PBE, optimized geometry)
data_ZrAlZnAg
_symmetry_space_group_name_H-M 'F -4 3 m'
_symmetry_Int_Tables_number 216
_symmetry_space_group_name_Hall 'F -4 2 3'
_cell_length_a 6.5542
_cell_length_b 6.5542
_cell_length_c 6.5542
_cell_angle_alpha 90.00
_cell_angle_beta 90.00
_cell_angle_gamma 90.00
loop_
_atom_site_label
_atom_site_type_symbol
_atom_site_fract_x
_atom_site_fract_y
_atom_site_fract_z
Zr1 Zr 0.0000 0.0000 0.0000
Al1 Al 0.2500 0.2500 0.7500
Zn1 Zn 0.2500 0.2500 0.2500
Ag1 Ag 0.0000 0.0000 0.5000
# calculated formation energy: -0.6 eV per formula unit
# E_tot: -4.25 eV/atom
# magnetization: 0.0 μB/cell
# DOS at the Fermi energy: 6.91 states/eV per cell


No. 2
# ZrAl2Ag (PBE, optimized geometry)
data_ZrAl2Ag
_symmetry_space_group_name_H-M 'P 4/m m m'
_symmetry_Int_Tables_number 123
_symmetry_space_group_name_Hall '-P 4 2'
_cell_length_a 3.0691
_cell_length_b 3.0691
_cell_length_c 7.6046
_cell_angle_alpha 90.00
_cell_angle_beta 90.00
_cell_angle_gamma 90.00
loop_
_atom_site_label
_atom_site_type_symbol
_atom_site_fract_x
_atom_site_fract_y
_atom_site_fract_z
Zr1 Zr 0.0000 0.0000 0.0000
Al1 Al 0.5000 0.5000 0.2674
Ag1 Ag 0.0000 0.0000 0.5000
# calculated formation energy: -1.1 eV per formula unit
# E_tot: -4.98 eV/atom
# magnetization: 0.0 μB/cell
# energy above the lowest structure with this stoichiometry: 106 meV/atom
# DOS at the Fermi energy: 2.39 states/eV per cell


No. 3
# Zr2AlAg (PBE, optimized geometry)
data_Zr2AlAg
_symmetry_space_group_name_H-M 'P 4/m m m'
_symmetry_Int_Tables_number 123
_symmetry_space_group_name_Hall '-P 4 2'
_cell_length_a 4.3231
_cell_length_b 4.3231
_cell_length_c 4.2373
_cell_angle_alpha 90.00
_cell_angle_beta 90.00
_cell_angle_gamma 90.00
loop_
_atom_site_label
_atom_site_type_symbol
_atom_site_fract_x
_atom_site_fract_y
_atom_site_fract_z
Zr1 Zr 0.0000 0.5000 0.0000
Al1 Al 0.0000 0.0000 0.5000
Ag1 Ag 0.5000 0.5000 0.5000
# calculated formation energy: -0.9 eV per formula unit
# E_tot: -6.14 eV/atom
# magnetization: 0.0 μB/cell
# DOS at the Fermi energy: 5.06 states/eV per cell